Entry 1:
Entry from Alexandria via LeMat-Bulk: LiTm5Ag4 after structural relaxation (PBE).

- calculated formation energy (eV/atom) = -0.25
- mass density (g/cm³) = 9.18
- spin magnetization (μB per atom) = 0.0000

CIF file:
```
data_LiTm5Ag4
_space_group_name_H-M_alt 'P 4/m m m'
_space_group_IT_number 123
_space_group_name_Hall '-P 4 2'
_cell_length_a 3.579
_cell_length_b 3.579
_cell_length_c 18.129
_cell_angle_alpha 90.00
_cell_angle_beta 90.00
_cell_angle_gamma 90.00
loop_
_atom_site_label
_atom_site_fract_x
_atom_site_fract_y
_atom_site_fract_z
Li1 0.000 0.000 0.000
Tm1 0.500 0.500 0.103
Tm2 0.500 0.500 0.301
Tm3 0.500 0.500 0.500
Ag1 0.000 0.000 0.199
Ag2 0.000 0.000 0.400
```

Entry 2:
Entry from Alexandria via LeMat-Bulk: Li2TmAg after structural relaxation (PBE).

- calculated formation energy (eV/atom) = 0.03
- mass density (g/cm³) = 6.32
- spin magnetization (μB per atom) = 0.0000

CIF file:
```
data_Li2TmAg
_space_group_name_H-M_alt 'F m -3 m'
_space_group_IT_number 225
_space_group_name_Hall '-F 4 2 3'
_cell_length_a 6.736
_cell_length_b 6.736
_cell_length_c 6.736
_cell_angle_alpha 90.00
_cell_angle_beta 90.00
_cell_angle_gamma 90.00
loop_
_atom_site_label
_atom_site_fract_x
_atom_site_fract_y
_atom_site_fract_z
Li1 0.250 0.250 0.250
Tm1 0.000 0.000 0.000
Ag1 0.000 0.000 0.500
```

Entry 3:
Entry from Alexandria via LeMat-Bulk: Li4TmAg after structural relaxation (PBE).

- calculated formation energy (eV/atom) = 0.04
- mass density (g/cm³) = 4.58
- spin magnetization (μB per atom) = 0.1923

CIF file:
```
data_Li4TmAg
_space_group_name_H-M_alt 'F -4 3 m'
_space_group_IT_number 216
_space_group_name_Hall 'F -4 2 3'
_cell_length_a 7.618
_cell_length_b 7.618
_cell_length_c 7.618
_cell_angle_alpha 90.00
_cell_angle_beta 90.00
_cell_angle_gamma 90.00
loop_
_atom_site_label
_atom_site_fract_x
_atom_site_fract_y
_atom_site_fract_z
Li1 0.123 0.123 0.377
Tm1 0.000 0.000 0.000
Ag1 0.250 0.250 0.750
```

Entry 4:
Entry from Alexandria via LeMat-Bulk: LiTm2Ag after structural relaxation (PBE).

- calculated formation energy (eV/atom) = 0.18
- mass density (g/cm³) = 7.10
- spin magnetization (μB per atom) = 0.0000

CIF file:
```
data_LiTm2Ag
_space_group_name_H-M_alt 'R -3 m'
_space_group_IT_number 166
_space_group_name_Hall '-R 3 2"'
_cell_length_a 3.3089
_cell_length_b 3.3089
_cell_length_c 33.5171
_cell_angle_alpha 90.00
_cell_angle_beta 90.00
_cell_angle_gamma 120.00
loop_
_atom_site_label
_atom_site_fract_x
_atom_site_fract_y
_atom_site_fract_z
Li1 0.0000 0.0000 0.0000
Tm1 0.0000 0.0000 0.0943
Ag1 0.0000 0.0000 0.5000
```

Entry 5:
Entry from Alexandria via LeMat-Bulk: LiTmAg2 after structural relaxation (PBE).

- calculated formation energy (eV/atom) = -0.24
- mass density (g/cm³) = 8.15
- spin magnetization (μB per atom) = 0.0000

CIF file:
```
data_LiTmAg2
_space_group_name_H-M_alt 'P 4/m m m'
_space_group_IT_number 123
_space_group_name_Hall '-P 4 2'
_cell_length_a 3.470
_cell_length_b 3.470
_cell_length_c 6.626
_cell_angle_alpha 90.00
_cell_angle_beta 90.00
_cell_angle_gamma 90.00
loop_
_atom_site_label
_atom_site_fract_x
_atom_site_fract_y
_atom_site_fract_z
Li1 0.000 0.000 0.000
Tm1 0.000 0.000 0.500
Ag1 0.500 0.500 0.221
```

Entry 6:
Entry from Alexandria via LeMat-Bulk: Li4TmAg2 after structural relaxation (PBE).

- calculated formation energy (eV/atom) = -0.13
- mass density (g/cm³) = 4.94
- spin magnetization (μB per atom) = 0.0000

CIF file:
```
data_Li4TmAg2
_space_group_name_H-M_alt 'C m m m'
_space_group_IT_number 65
_space_group_name_Hall '-C 2 2'
_cell_length_a 3.904
_cell_length_b 17.879
_cell_length_c 3.970
_cell_angle_alpha 90.00
_cell_angle_beta 90.00
_cell_angle_gamma 90.00
loop_
_atom_site_label
_atom_site_fract_x
_atom_site_fract_y
_atom_site_fract_z
Li1 0.000 0.180 0.000
Li2 0.000 0.316 0.500
Tm1 0.000 0.500 0.000
Ag1 0.000 0.078 0.500
```